Record 1
{
  "formula": "Cs3CuI5",
  "functional": "GGA-PBE",
  "state": "optimized geometry",
  "lattice_angstrom": [[-5.235, 5.235, 8.136], [5.235, -5.235, 8.136], [5.235, 5.235, -8.136]],
  "species": ["Cs", "Cs", "Cs", "Cs", "Cs", "Cs", "Cu", "Cu", "I", "I", "I", "I", "I", "I", "I", "I", "I", "I"],
  "fractional_positions": [[0.159, 0.659, 0.818], [0.250, 0.250, 0.000], [0.341, 0.159, 0.500], [0.659, 0.841, 0.500], [0.750, 0.750, 0.000], [0.841, 0.341, 0.182], [0.250, 0.750, 0.500], [0.750, 0.250, 0.500], [0.000, 0.000, 0.000], [0.014, 0.795, 0.500], [0.205, 0.705, 0.219], [0.295, 0.514, 0.500], [0.486, 0.986, 0.781], [0.500, 0.500, 0.000], [0.514, 0.014, 0.219], [0.705, 0.486, 0.500], [0.795, 0.295, 0.781], [0.986, 0.205, 0.500]],
  "raw_formation_energy_mev_per_atom": -1055.1,
  "e_tot_ev_per_atom": -2.66
}


Record 2
{
  "formula": "GeW",
  "functional": "GGA-PBE",
  "state": "optimized geometry",
  "lattice_angstrom": [[7.083, 0.000, 0.000], [0.000, 7.083, 0.000], [0.000, 0.000, 7.083]],
  "species": ["Ge", "Ge", "Ge", "Ge", "Ge", "Ge", "W", "W", "W", "W", "W", "W"],
  "fractional_positions": [[0.000, 0.250, 0.500], [0.000, 0.750, 0.500], [0.250, 0.500, 0.000], [0.500, 0.000, 0.250], [0.500, 0.000, 0.750], [0.750, 0.500, 0.000], [0.000, 0.500, 0.250], [0.000, 0.500, 0.750], [0.250, 0.000, 0.500], [0.500, 0.250, 0.000], [0.500, 0.750, 0.000], [0.750, 0.000, 0.500]],
  "formation_enthalpy_0k_ev_per_atom": 1.681,
  "relative_energy_mev_per_atom": 1421,
  "e_tot_ev_per_atom": -7.10
}


Record 3
{
  "formula": "Tl2GaTeAu",
  "functional": "GGA-PBE",
  "state": "optimized geometry",
  "lattice_angstrom": [[5.618, 0.000, 0.000], [0.000, 5.618, 0.000], [0.000, 0.000, 4.972]],
  "species": ["Tl", "Tl", "Ga", "Te", "Au"],
  "fractional_positions": [[0.000, 0.500, 0.000], [0.500, 0.000, 0.000], [0.000, 0.000, 0.500], [0.500, 0.500, 0.500], [0.000, 0.000, 0.000]],
  "raw_formation_energy_mev_per_atom": -43.8,
  "e_tot_ev_per_atom": -2.88
}


Record 4
{
  "formula": "LiAgTe2",
  "functional": "GGA-PBE",
  "state": "optimized geometry",
  "lattice_angstrom": [[4.175, 0.000, 0.000], [0.000, 4.198, 0.000], [0.000, 0.000, 5.499]],
  "species": ["Li", "Ag", "Te", "Te"],
  "fractional_positions": [[0.000, 0.000, 0.000], [0.500, 0.000, 0.500], [0.000, 0.500, 0.500], [0.500, 0.500, 0.000]],
  "raw_formation_energy_mev_per_atom": -215.1,
  "e_tot_ev_per_atom": -2.98
}


Record 5
{
  "formula": "Be2AlAg2",
  "functional": "GGA-PBE",
  "state": "optimized geometry",
  "lattice_angstrom": [[7.006, 0.000, 0.000], [0.000, 7.006, 0.000], [0.000, 0.000, 2.869]],
  "species": ["Be", "Be", "Be", "Be", "Al", "Al", "Ag", "Ag", "Ag", "Ag"],
  "fractional_positions": [[0.156, 0.344, 0.000], [0.344, 0.844, 0.000], [0.656, 0.156, 0.000], [0.844, 0.656, 0.000], [0.000, 0.000, 0.500], [0.500, 0.500, 0.500], [0.144, 0.644, 0.500], [0.356, 0.144, 0.500], [0.644, 0.856, 0.500], [0.856, 0.356, 0.500]],
  "formation_enthalpy_0k_ev_per_atom": 0.244,
  "relative_energy_mev_per_atom": 71,
  "e_tot_ev_per_atom": -3.14
}


Record 6
{
  "formula": "Tm3Zn9Rh2",
  "functional": "GGA-PBE",
  "state": "optimized geometry",
  "lattice_angstrom": [[-2.165, 4.509, 6.218], [2.165, -4.509, 6.218], [2.165, 4.509, -6.218]],
  "species": ["Tm", "Tm", "Tm", "Zn", "Zn", "Zn", "Zn", "Zn", "Zn", "Zn", "Zn", "Zn", "Rh", "Rh"],
  "fractional_positions": [[0.000, 0.000, 0.000], [0.308, 0.308, 0.000], [0.692, 0.692, 0.000], [0.024, 0.663, 0.361], [0.149, 0.872, 0.277], [0.302, 0.663, 0.639], [0.406, 0.128, 0.277], [0.500, 0.000, 0.500], [0.594, 0.872, 0.723], [0.698, 0.337, 0.361], [0.851, 0.128, 0.723], [0.976, 0.337, 0.639], [0.321, 0.500, 0.821], [0.679, 0.500, 0.179]],
  "formation_enthalpy_0k_ev_per_atom": -0.437,
  "e_tot_ev_per_atom": -3.26
}


Record 7
{
  "formula": "PmSc2Ir",
  "functional": "GGA-PBE",
  "state": "optimized geometry",
  "lattice_angstrom": [[4.457, 0.000, 0.000], [-2.228, 3.860, 0.000], [0.000, 0.000, 17.708]],
  "species": ["Pm", "Pm", "Pm", "Sc", "Sc", "Sc", "Sc", "Sc", "Sc", "Ir", "Ir", "Ir"],
  "fractional_positions": [[0.000, 0.000, 0.000], [0.333, 0.667, 0.667], [0.667, 0.333, 0.333], [0.000, 0.000, 0.550], [0.000, 0.000, 0.789], [0.333, 0.667, 0.217], [0.333, 0.667, 0.455], [0.667, 0.333, 0.122], [0.667, 0.333, 0.884], [0.000, 0.000, 0.174], [0.333, 0.667, 0.841], [0.667, 0.333, 0.507]],
  "formation_enthalpy_0k_ev_per_atom": -0.433,
  "relative_energy_mev_per_atom": 123,
  "e_tot_ev_per_atom": -7.00
}


Record 8
{
  "formula": "Er2Tm3Al4",
  "functional": "GGA-PBE",
  "state": "optimized geometry",
  "lattice_angstrom": [[5.050, 0.000, 0.000], [-2.525, 4.373, 0.000], [0.000, 0.000, 9.603]],
  "species": ["Er", "Er", "Tm", "Tm", "Tm", "Al", "Al", "Al", "Al"],
  "fractional_positions": [[0.333, 0.667, 0.219], [0.667, 0.333, 0.781], [0.000, 0.000, 0.000], [0.333, 0.667, 0.580], [0.667, 0.333, 0.420], [0.000, 0.000, 0.350], [0.000, 0.000, 0.650], [0.333, 0.667, 0.901], [0.667, 0.333, 0.099]],
  "formation_enthalpy_0k_ev_per_atom": -0.342,
  "e_tot_ev_per_atom": -4.51
}


Repeat the fifth record exactly.
{
  "formula": "Be2AlAg2",
  "functional": "GGA-PBE",
  "state": "optimized geometry",
  "lattice_angstrom": [[7.006, 0.000, 0.000], [0.000, 7.006, 0.000], [0.000, 0.000, 2.869]],
  "species": ["Be", "Be", "Be", "Be", "Al", "Al", "Ag", "Ag", "Ag", "Ag"],
  "fractional_positions": [[0.156, 0.344, 0.000], [0.344, 0.844, 0.000], [0.656, 0.156, 0.000], [0.844, 0.656, 0.000], [0.000, 0.000, 0.500], [0.500, 0.500, 0.500], [0.144, 0.644, 0.500], [0.356, 0.144, 0.500], [0.644, 0.856, 0.500], [0.856, 0.356, 0.500]],
  "formation_enthalpy_0k_ev_per_atom": 0.244,
  "relative_energy_mev_per_atom": 71,
  "e_tot_ev_per_atom": -3.14
}